[1]
PtPbCl2: optimized geometry, PBE.

Properties
E: -3.58 eV/atom

Unit cell a=4.070 b=4.072 c=6.754 alpha=90.00 beta=90.00 gamma=90.00
Fractional positions:
Pb 0.000 0.000 0.552
Pt 0.500 0.500 0.673
Cl 0.000 0.000 0.944
Cl 0.500 0.500 0.331

[2]
PtPb2Cl: optimized geometry, PBE.

Properties
Fermi-level density of states: 3.17 states/eV/cell
E: -4.03 eV/atom

Unit cell a=5.100 b=5.100 c=5.100 alpha=60.00 beta=60.00 gamma=60.00
Fractional positions:
Pb 0.250 0.250 0.250
Pb 0.750 0.750 0.750
Pt 0.500 0.500 0.500
Cl 0.000 0.000 0.000

[3]
PtPb2Cl: optimized geometry, PBE.

Properties
Fermi-level density of states: 3.05 states/eV/cell
E: -3.92 eV/atom

Unit cell a=6.782 b=6.782 c=6.782 alpha=144.74 beta=144.74 gamma=50.72
Fractional positions:
Cl 0.750 0.250 0.500
Pb 0.000 0.000 0.000
Pb 0.250 0.750 0.500
Pt 0.500 0.500 0.000

[4]
PtPbCl: optimized geometry, PBE.

Properties
Fermi-level density of states: 1.13 states/eV/cell
E: -3.91 eV/atom

Unit cell a=6.372 b=6.128 c=3.589 alpha=77.07 beta=69.63 gamma=33.30
Fractional positions:
Cl 0.031 0.031 0.969
Pb 0.302 0.302 0.698
Pt 0.667 0.667 0.333

[5]
PtPbCl2: optimized geometry, PBE.

Properties
Fermi-level density of states: 2.59 states/eV/cell
E: -3.30 eV/atom

Unit cell a=4.624 b=4.624 c=4.092 alpha=90.00 beta=90.00 gamma=90.00
Fractional positions:
Pb 0.500 0.000 0.500
Pt 0.000 0.500 0.500
Cl 0.000 0.000 0.000
Cl 0.500 0.500 0.000

[6]
PtPbCl: optimized geometry, PBE.

Properties
Fermi-level density of states: 2.20 states/eV/cell
E: -3.94 eV/atom

Unit cell a=4.702 b=4.702 c=4.702 alpha=60.00 beta=60.00 gamma=60.00
Fractional positions:
Cl 0.000 0.000 0.000
Pb 0.500 0.500 0.500
Pt 0.750 0.750 0.750

[7]
PtPbCl6: optimized geometry, PBE.

Properties
Fermi-level density of states: 0.00 states/eV/cell
E: -3.33 eV/atom

Unit cell a=6.716 b=6.716 c=10.309 alpha=90.23 beta=90.23 gamma=72.84
Fractional positions:
Pt 0.000 0.500 0.500
Pt 0.500 0.000 0.000
Pb 0.014 0.986 0.250
Pb 0.986 0.014 0.750
Cl 0.256 0.603 0.388
Cl 0.744 0.397 0.612
Cl 0.397 0.744 0.112
Cl 0.603 0.256 0.888
Cl 0.853 0.446 0.301
Cl 0.147 0.554 0.699
Cl 0.554 0.147 0.199
Cl 0.446 0.853 0.801
Cl 0.148 0.203 0.999
Cl 0.852 0.797 0.001
Cl 0.797 0.852 0.501
Cl 0.203 0.148 0.499

[8]
PtPb2Cl: optimized geometry, PBE.

Properties
Fermi-level density of states: 1.88 states/eV/cell
E: -4.10 eV/atom

Unit cell a=7.577 b=5.611 c=3.326 alpha=75.96 beta=85.43 gamma=130.66
Fractional positions:
Cl 0.500 0.500 0.000
Pb 0.000 0.000 0.000
Pb 0.500 0.000 0.500
Pt 0.000 0.500 0.500

Copy entry 4 word for word.
PtPbCl: optimized geometry, PBE.

Properties
Fermi-level density of states: 1.13 states/eV/cell
E: -3.91 eV/atom

Unit cell a=6.372 b=6.128 c=3.589 alpha=77.07 beta=69.63 gamma=33.30
Fractional positions:
Cl 0.031 0.031 0.969
Pb 0.302 0.302 0.698
Pt 0.667 0.667 0.333

Question: The lowest E belongs to which entry?
Answer: number 8

Copy entry 3 word for word.
PtPb2Cl: optimized geometry, PBE.

Properties
Fermi-level density of states: 3.05 states/eV/cell
E: -3.92 eV/atom

Unit cell a=6.782 b=6.782 c=6.782 alpha=144.74 beta=144.74 gamma=50.72
Fractional positions:
Cl 0.750 0.250 0.500
Pb 0.000 0.000 0.000
Pb 0.250 0.750 0.500
Pt 0.500 0.500 0.000

Question: The lowest E belongs to which entry?
Answer: number 8